1.
# InPb3Se, relaxed, DFT PBE
data_InPb3Se
_cell_length_a 5.758
_cell_length_b 5.758
_cell_length_c 5.758
_cell_angle_alpha 90.00
_cell_angle_beta 90.00
_cell_angle_gamma 90.00
_space_group_name_H-M_alt 'P 1'
_space_group_IT_number 1
_space_group_name_Hall 'P 1'
loop_
_atom_site_label
_atom_site_type_symbol
_atom_site_fract_x
_atom_site_fract_y
_atom_site_fract_z
Pb1 Pb 0.000 0.000 0.500
In1 In 0.000 0.000 0.000
Pb2 Pb 0.500 0.000 0.000
Se1 Se 0.500 0.500 0.500
Pb3 Pb 0.000 0.500 0.000
# crystal system	cubic
# formation energy without anion corrections	0.49	eV per atom
# theoretical density	7093	kg/m3
# E above lowest polymorph	1.344	eV per formula unit



2.
# CsRbNa2As, relaxed, DFT PBE
data_CsRbNa2As
_cell_length_a 5.914
_cell_length_b 5.914
_cell_length_c 7.168
_cell_angle_alpha 90.00
_cell_angle_beta 90.00
_cell_angle_gamma 90.00
_space_group_name_H-M_alt 'P 1'
_space_group_IT_number 1
_space_group_name_Hall 'P 1'
loop_
_atom_site_label
_atom_site_type_symbol
_atom_site_fract_x
_atom_site_fract_y
_atom_site_fract_z
As1 As 0.000 0.000 0.000
Rb1 Rb 0.500 0.500 0.500
Cs1 Cs 0.000 0.000 0.500
Na1 Na 0.000 0.500 0.000
Na2 Na 0.500 0.000 0.000
# crystal system	tetragonal
# theoretical density	2247	kg/m3
# energy of formation	-0.127	eV/atom
# E above lowest polymorph	0.171	eV per formula unit